{"formula": "Y7Zn3", "functional": "PBE", "state": "relaxed", "e_form_ev_per_atom": -0.14, "e_tot_ev_per_atom": -5.049, "lattice": [[5.2866, 0.0000, 0.0000], [0.0000, 1.7988, 14.0607], [0.0000, -1.7988, 14.0607]], "species": ["Y", "Y", "Y", "Y", "Y", "Y", "Y", "Zn", "Zn", "Zn"], "frac_coords": [[0.0000, 0.0000, 0.0000], [0.0000, 0.1742, 0.1742], [0.0000, 0.3862, 0.3862], [0.0000, 0.7879, 0.7879], [0.5000, 0.0937, 0.0937], [0.5000, 0.7109, 0.7109], [0.5000, 0.9138, 0.9138], [0.0000, 0.5878, 0.5878], [0.5000, 0.3169, 0.3169], [0.5000, 0.5027, 0.5027]]}


{"formula": "YZn3", "functional": "PBE", "state": "relaxed", "e_form_ev_per_atom": 0.95, "e_tot_ev_per_atom": -1.626, "lattice": [[5.8759, 0.0000, 0.0000], [0.0000, 5.8759, 0.0000], [0.0000, 0.0000, 5.8759]], "species": ["Y", "Zn", "Zn", "Zn"], "frac_coords": [[0.0000, 0.0000, 0.0000], [0.0000, 0.0000, 0.5000], [0.0000, 0.5000, 0.0000], [0.5000, 0.0000, 0.0000]]}